Density functional theory data (PBE with a Hubbard U) for crystalline LaMoIO2 at its relaxed geometry.

Values from the calculation:
The calculation puts the offset from the most stable computed form at 0 meV/atom. The value obtained for the theoretical density is 6.3 g/cm3. The total moment is 3.1 μB per formula unit. The crystal system is tetragonal.

Cell lengths 4.323, 4.323, 5.545 Å; angles 90.00, 90.00, 90.00 degrees
Space group P4/mmm (No. 123)
Unique sites:
La (0.000, 0.000, 0.000) x1
Mo (0.500, 0.500, 0.500) x1
I (0.500, 0.500, 0.000) x1
O (0.000, 0.500, 0.500) x2